Material: Pm3Pr4In2
Method: DFT, PBE-GGA
State: optimized geometry

Results
Its total moment is 0.00 μB/cell. The total energy is -0.1637 hartree per atom. The relative energy among the computed polymorphs is 0.048 eV per atom. The calculation puts the formation enthalpy at 0 K at -0.14 eV per atom.

Cell lengths 16.167, 11.829, 6.213 Å; angles 90.00, 97.65, 90.00 degrees
Space group C2/c (No. 15)
Asymmetric unit:
1 Pm 0.000 0.114 0.250 [4 per cell]
2 Pm 0.174 0.358 0.075 [8 per cell]
3 Pr 0.064 0.373 0.536 [8 per cell]
4 Pr 0.205 0.113 0.403 [8 per cell]
5 In 0.099 0.134 0.820 [8 per cell]